(1)
This record from Alexandria describes a relaxed Ag3BrCl crystal. The functional is PBE.

a b c (Å): 5.2820 5.2820 5.2820
angles (deg): 90.00 90.00 90.00
Last column: nearest neighbours and their distance in Å.
Sites, in units of the cell vectors:
Ag: 0.0000 0.5000 0.0000  2 Br 2.64
Ag: 0.5000 0.0000 0.0000  2 Br 2.64
Ag: 0.0000 0.0000 0.5000  2 Br 2.64
Cl: 0.5000 0.5000 0.5000  12 Ag 3.73
Br: 0.0000 0.0000 0.0000  6 Ag 2.64

Output
formation energy without anion corrections: 0.29 eV/atom
offset from the most stable computed form: 0.072 eV/atom
space-group type: Pm-3m
total energy: -2.13 eV per atom
N(E_F): 0.5364 states/eV/atom

(2)
This record from Alexandria describes a relaxed Ag2BrCl3 crystal. The functional is PBE.

a b c (Å): 5.7792 7.8314 7.8314
angles (deg): 120.00 90.00 90.00
Last column: nearest neighbours and their distance in Å.
Sites, in units of the cell vectors:
Ag: 0.0000 0.0000 0.0000  6 Cl 2.65
Ag: 0.0000 0.5000 0.0000  4 Cl 2.65, 2 Br 2.75
Ag: 0.0000 0.0000 0.5000  4 Cl 2.65, 2 Br 2.75
Ag: 0.0000 0.5000 0.5000  4 Cl 2.65, 2 Br 2.75
Br: 0.7298 0.3333 0.6667  3 Ag 2.75
Br: 0.2702 0.6667 0.3333  3 Ag 2.75
Cl: 0.2390 0.1665 0.8336  3 Ag 2.65
Cl: 0.7610 0.8336 0.6671  3 Ag 2.65
Cl: 0.2390 0.6671 0.8336  3 Ag 2.65
Cl: 0.2390 0.1665 0.3329  3 Ag 2.65
Cl: 0.7610 0.3329 0.1664  3 Ag 2.65
Cl: 0.7610 0.8336 0.1664  3 Ag 2.65

Output
formation energy without anion corrections: -0.23 eV/atom
offset from the most stable computed form: 0.076 eV/atom
space-group type: P-3m1
total energy: -2.38 eV per atom
N(E_F): 1.4092 states/eV/atom

(3)
This record from Alexandria describes a relaxed Ag4BrCl3 crystal. The functional is PBE.

a b c (Å): 6.9825 7.5220 8.6975
angles (deg): 90.00 90.00 90.00
Last column: nearest neighbours and their distance in Å.
Sites, in units of the cell vectors:
Cl: 0.5061 0.3336 0.2486  4 Ag 2.62-2.64
Cl: 0.0041 0.1717 0.5000  4 Ag 2.62-2.64
Cl: 0.5061 0.3336 0.7514  4 Ag 2.62-2.64
Cl: 0.0061 0.6664 0.2514  4 Ag 2.62-2.64
Cl: 0.0061 0.6664 0.7486  4 Ag 2.62-2.64
Cl: 0.5041 0.8283 0.0000  4 Ag 2.62-2.64
Ag: 0.6116 0.1613 0.0000  3 Cl 2.62-2.63, 1 Br 2.74
Ag: 0.6287 0.6625 0.2450  3 Cl 2.62-2.64, 1 Br 2.71
Ag: 0.1260 0.8227 0.0000  3 Cl 2.62-2.64, 1 Br 2.71
Ag: 0.1287 0.3375 0.7450  3 Cl 2.62-2.64, 1 Br 2.71
Ag: 0.6260 0.1773 0.5000  3 Cl 2.62-2.64, 1 Br 2.71
Ag: 0.1287 0.3375 0.2550  3 Cl 2.62-2.64, 1 Br 2.71
Ag: 0.1116 0.8387 0.5000  3 Cl 2.62-2.63, 1 Br 2.74
Ag: 0.6287 0.6625 0.7550  3 Cl 2.62-2.64, 1 Br 2.71
Br: 0.0039 0.1653 0.0000  4 Ag 2.71-2.74
Br: 0.5039 0.8347 0.5000  4 Ag 2.71-2.74

Output
formation energy without anion corrections: -0.42 eV/atom
offset from the most stable computed form: 0.000 eV/atom
space-group type: Pmn2_1
total energy: -2.74 eV per atom

(4)
This record from Alexandria describes a relaxed Ag4BrCl3 crystal. The functional is PBE.

a b c (Å): 4.0078 6.9342 6.9342
angles (deg): 70.28 90.00 90.00
Last column: nearest neighbours and their distance in Å.
Sites, in units of the cell vectors:
Cl: 0.4997 0.9997 0.5006  6 Ag 2.79-2.80
Cl: 0.0022 0.4995 0.4994  6 Ag 2.82-2.84
Cl: 0.9977 0.0005 0.0008  6 Ag 2.82-2.84
Ag: 0.9999 0.7566 0.7435  4 Cl 2.79-2.84, 2 Br 2.86
Ag: 0.4999 0.7532 0.2532  5 Cl 2.80-2.83, 1 Br 2.87
Ag: 0.9999 0.2440 0.2561  4 Cl 2.80-2.83, 2 Br 2.87
Ag: 0.5001 0.2469 0.7469  5 Cl 2.80-2.84, 1 Br 2.87
Br: 0.5001 0.5007 0.9993  6 Ag 2.86-2.87

Output
formation energy without anion corrections: -0.39 eV/atom
offset from the most stable computed form: 0.029 eV/atom
space-group type: C2
total energy: -2.71 eV per atom

(5)
This record from Alexandria describes a relaxed Ag2BrCl6 crystal. The functional is PBE.

a b c (Å): 8.0322 8.2959 8.2959
angles (deg): 79.65 86.99 86.99
Last column: nearest neighbours and their distance in Å.
Sites, in units of the cell vectors:
Cl: 0.1849 0.7343 0.0124  1 Ag 2.46, 1 Br 2.51
Cl: 0.0739 0.6065 0.6130  2 Ag 2.39-2.52
Cl: 0.3148 0.3104 0.9408  1 Br 2.36
Cl: 0.9261 0.3935 0.3870  2 Ag 2.39-2.52
Cl: 0.6849 0.0124 0.7343  1 Ag 2.46, 1 Br 2.51
Cl: 0.4261 0.3870 0.3935  2 Ag 2.39-2.52
Cl: 0.1852 0.0592 0.6896  1 Br 2.36
Cl: 0.5739 0.6130 0.6065  2 Ag 2.39-2.52
Cl: 0.8151 0.2657 0.9876  1 Ag 2.46, 1 Br 2.51
Cl: 0.3151 0.9876 0.2657  1 Ag 2.46, 1 Br 2.51
Cl: 0.6852 0.6896 0.0592  1 Br 2.36
Cl: 0.8148 0.9408 0.3104  1 Br 2.36
Ag: 0.6756 0.3550 0.2300  3 Cl 2.39-2.52
Ag: 0.3244 0.6450 0.7700  3 Cl 2.39-2.52
Ag: 0.1756 0.2300 0.3550  3 Cl 2.39-2.52
Ag: 0.8244 0.7700 0.6450  3 Cl 2.39-2.52
Br: 0.2500 0.0327 0.9673  4 Cl 2.36-2.51
Br: 0.7500 0.9673 0.0327  4 Cl 2.36-2.51

Output
formation energy without anion corrections: -0.13 eV/atom
offset from the most stable computed form: 0.042 eV/atom
space-group type: C2/c
total energy: -2.18 eV per atom
N(E_F): 0.4355 states/eV/atom

(6)
This record from Alexandria describes a relaxed AgBr2Cl crystal. The functional is PBE.

a b c (Å): 5.1186 5.1186 5.1186
angles (deg): 60.00 60.00 60.00
Last column: nearest neighbours and their distance in Å.
Sites, in units of the cell vectors:
Br: 0.2500 0.2500 0.2500  4 Cl 3.13, 4 Ag 3.13
Br: 0.7500 0.7500 0.7500  4 Cl 3.13, 4 Ag 3.13
Ag: 0.5000 0.5000 0.5000  8 Br 3.13
Cl: 0.0000 0.0000 0.0000  8 Br 3.13

Output
formation energy without anion corrections: 0.34 eV/atom
offset from the most stable computed form: 0.529 eV/atom
space-group type: Fm-3m
total energy: -1.67 eV per atom
N(E_F): 1.2751 states/eV/atom